Entry 1:
# meta-GGA SCAN NiSb2, PBEsol geometry
data_NiSb2
_chemical_formula_sum 'Ni4 Sb8'
_space_group_name_H-M_alt 'F m -3 m'
_space_group_IT_number 225
_space_group_name_Hall '-F 4 2 3'
_cell_length_a 6.3165
_cell_length_b 6.3165
_cell_length_c 6.3165
_cell_angle_alpha 90.00
_cell_angle_beta 90.00
_cell_angle_gamma 90.00
loop_
_atom_site_label
_atom_site_type_symbol
_atom_site_fract_x
_atom_site_fract_y
_atom_site_fract_z
_atom_site_occupancy
Ni1 Ni 0.0000 0.0000 0.0000 1
Sb1 Sb 0.2500 0.2500 0.2500 1
# uncorrected formation energy: -6 kJ/mol of atoms
# M_tot: 0.0 μB per cell
# crystal system: cubic
# DOS at the Fermi energy: 3.2 states/eV/cell


Entry 2:
# meta-GGA SCAN NiSb, PBEsol geometry
data_NiSb
_chemical_formula_sum 'Ni2 Sb2'
_space_group_name_H-M_alt 'P 63/m m c'
_space_group_IT_number 194
_space_group_name_Hall '-P 6c 2c'
_cell_length_a 3.9126
_cell_length_b 3.9126
_cell_length_c 5.0643
_cell_angle_alpha 90.00
_cell_angle_beta 90.00
_cell_angle_gamma 120.00
loop_
_atom_site_label
_atom_site_type_symbol
_atom_site_fract_x
_atom_site_fract_y
_atom_site_fract_z
_atom_site_occupancy
Ni1 Ni 0.0000 0.0000 0.0000 1
Sb1 Sb 0.3333 0.6667 0.2500 1
# uncorrected formation energy: -28 kJ/mol of atoms
# M_tot: 0.0 μB per cell
# crystal system: hexagonal
# DOS at the Fermi energy: 1.9 states/eV/cell


Entry 3:
# meta-GGA SCAN NiSb2, PBEsol geometry
data_NiSb2
_chemical_formula_sum 'Ni2 Sb4'
_space_group_name_H-M_alt 'P n n m'
_space_group_IT_number 58
_space_group_name_Hall '-P 2 2n'
_cell_length_a 5.1531
_cell_length_b 6.2727
_cell_length_c 3.8240
_cell_angle_alpha 90.00
_cell_angle_beta 90.00
_cell_angle_gamma 90.00
loop_
_atom_site_label
_atom_site_type_symbol
_atom_site_fract_x
_atom_site_fract_y
_atom_site_fract_z
_atom_site_occupancy
Ni1 Ni 0.0000 0.0000 0.0000 1
Sb1 Sb 0.2205 0.3574 0.0000 1
# uncorrected formation energy: -22 kJ/mol of atoms
# M_tot: 0.0 μB per cell
# crystal system: orthorhombic
# DOS at the Fermi energy: 2.4 states/eV/cell